Entry 1:
A relaxed Rb3H2Br3 crystal. Source: the Alexandria database, functional PBE.

The value obtained for the offset from the most stable computed form is 0 meV per atom.

```
Rb3H2Br3
1.0
4.3073 0.0000 0.0000
0.0409 5.4858 0.0000
1.8840 2.4877 11.3311
Rb H Br
3 2 3
Direct
0.0000 0.0000 0.0000
0.1252 0.6226 0.7305
0.8748 0.3774 0.2695
0.0450 0.5536 0.4776
0.9550 0.4464 0.5224
0.3801 0.8811 0.2738
0.5000 0.5000 0.0000
0.6199 0.1189 0.7262
```



Entry 2:
A relaxed Th3Mn2B9 crystal. Source: the Alexandria database, functional PBE.

For the formation energy, the calculation gives -271 meV per atom.

```
Th3Mn2B9
1.0
-1.5745 4.0756 6.7088
1.5745 -4.0756 6.7088
1.5745 4.0756 -6.7088
Th Mn B
3 2 9
Direct
0.0000 0.0000 0.0000
0.2643 0.2643 0.0000
0.7357 0.7357 0.0000
0.3419 0.5000 0.8419
0.6581 0.5000 0.1581
0.0771 0.3735 0.7035
0.1609 0.8820 0.2789
0.3300 0.6265 0.7035
0.3969 0.1180 0.2789
0.5000 0.0000 0.5000
0.6031 0.8820 0.7211
0.6700 0.3735 0.2965
0.8391 0.1180 0.7211
0.9229 0.6265 0.2965
```



Entry 3:
A relaxed CaPu2In9 crystal. Source: the Alexandria database, functional PBE.

For the formation energy, the calculation gives -254 meV per atom.

```
CaPu2In9
1.0
4.6774 0.0000 0.0000
0.0000 4.6774 0.0000
0.0000 0.0000 14.0288
Ca Pu In
1 2 9
Direct
0.0000 0.0000 0.0000
0.0000 0.0000 0.3335
0.0000 0.0000 0.6665
0.0000 0.5000 0.1689
0.0000 0.5000 0.5000
0.0000 0.5000 0.8311
0.5000 0.0000 0.1689
0.5000 0.0000 0.5000
0.5000 0.0000 0.8311
0.5000 0.5000 0.0000
0.5000 0.5000 0.3359
0.5000 0.5000 0.6641
```



Entry 4:
A relaxed TbEuGd2 crystal. Source: the Alexandria database, functional PBE.

The value obtained for the offset from the most stable computed form is 101 meV per atom. For the formation energy, the calculation gives 142 meV per atom.

```
TbEuGd2
1.0
3.5595 0.0000 0.0000
-1.7798 3.0826 0.0000
0.0000 0.0000 37.6945
Tb Eu Gd
3 3 6
Direct
0.0000 0.0000 0.0000
0.3333 0.6667 0.6667
0.6667 0.3333 0.3333
0.0000 0.0000 0.5000
0.3333 0.6667 0.1667
0.6667 0.3333 0.8333
0.0000 0.0000 0.4089
0.0000 0.0000 0.5911
0.3333 0.6667 0.0756
0.3333 0.6667 0.2577
0.6667 0.3333 0.7423
0.6667 0.3333 0.9244
```



Entry 5:
A relaxed La2FeSb crystal. Source: the Alexandria database, functional PBE.

Its calculated total energy is -5.945 eV per atom.

```
La2FeSb
1.0
3.9098 0.0000 0.0000
0.0000 4.8653 0.0000
0.0000 0.0000 11.0482
La Fe Sb
4 2 2
Direct
0.0000 0.0000 0.0000
0.0000 0.5000 0.2152
0.5000 0.0000 0.7152
0.5000 0.5000 0.5000
0.0000 0.0000 0.4653
0.5000 0.5000 0.9653
0.0000 0.5000 0.7956
0.5000 0.0000 0.2956
```



Entry 6:
A relaxed SrPmTlI6 crystal. Source: the Alexandria database, functional PBE.

Its calculated total energy is -3.352 eV per atom.

```
SrPmTlI6
1.0
8.2596 0.0000 0.0000
-4.1298 7.1530 0.0000
0.0000 0.0000 15.0704
Sr Pm Tl I
2 2 2 12
Direct
0.3333 0.6667 0.2500
0.6667 0.3333 0.7500
0.3333 0.6667 0.7500
0.6667 0.3333 0.2500
0.0000 0.0000 0.0000
0.0000 0.0000 0.5000
0.0167 0.3698 0.6294
0.0167 0.6470 0.8706
0.3530 0.3698 0.8706
0.3530 0.9833 0.6294
0.3698 0.0167 0.1294
0.3698 0.3530 0.3706
0.6302 0.6470 0.6294
0.6302 0.9833 0.8706
0.6470 0.0167 0.3706
0.6470 0.6302 0.1294
0.9833 0.3530 0.1294
0.9833 0.6302 0.3706
```



Entry 7:
A relaxed RbSiOF2 crystal. Source: the Alexandria database, functional PBE.

The value obtained for the offset from the most stable computed form is 0 meV per atom.

```
RbSiOF2
1.0
4.4655 0.0000 0.0000
0.0000 4.4655 0.0000
0.0000 0.0000 3.5597
Rb Si O F
1 1 1 2
Direct
0.0000 0.0000 0.0000
0.5000 0.5000 0.5000
0.5000 0.5000 0.0000
0.0000 0.5000 0.5000
0.5000 0.0000 0.5000
```



Entry 8:
A relaxed Dy8In2Os crystal. Source: the Alexandria database, functional PBE.

For the formation energy, the calculation gives -248 meV per atom.

```
Dy8In2Os
1.0
8.8016 -2.6818 0.0000
8.8016 2.6818 0.0000
-2.6335 0.0000 6.4872
Dy In Os
8 2 1
Direct
0.0114 0.0114 0.2781
0.1965 0.1965 0.7588
0.3562 0.3562 0.5756
0.4004 0.4004 0.0878
0.5996 0.5996 0.9122
0.6438 0.6438 0.4244
0.8035 0.8035 0.2412
0.9886 0.9886 0.7219
0.1811 0.1811 0.1941
0.8189 0.8189 0.8059
0.5000 0.5000 0.5000
```



Entry 9:
A relaxed CuPt2Pb crystal. Source: the Alexandria database, functional PBE.

For the formation energy, the calculation gives 62 meV per atom.

```
CuPt2Pb
1.0
6.5138 0.0000 0.0000
0.0000 6.5138 0.0000
0.0000 0.0000 6.5138
Cu Pt Pb
4 8 4
Direct
0.0000 0.0000 0.0000
0.0000 0.5000 0.5000
0.5000 0.0000 0.5000
0.5000 0.5000 0.0000
0.0000 0.0000 0.5000
0.0000 0.5000 0.0000
0.2500 0.2500 0.7500
0.2500 0.7500 0.2500
0.5000 0.0000 0.0000
0.5000 0.5000 0.5000
0.7500 0.2500 0.2500
0.7500 0.7500 0.7500
0.2500 0.2500 0.2500
0.2500 0.7500 0.7500
0.7500 0.2500 0.7500
0.7500 0.7500 0.2500
```



Entry 10:
A relaxed PmMgTl crystal. Source: the Alexandria database, functional PBE.

The value obtained for the offset from the most stable computed form is 74 meV per atom. For the formation energy, the calculation gives -283 meV per atom.

```
PmMgTl
1.0
4.9942 0.0000 0.0000
-2.4971 4.3251 0.0000
0.0000 0.0000 3.7601
Pm Mg Tl
1 1 1
Direct
0.0000 0.0000 0.0000
0.6667 0.3333 0.5000
0.3333 0.6667 0.5000
```



Entry 11:
A relaxed V3CrRu2 crystal. Source: the Alexandria database, functional PBE.

The value obtained for the offset from the most stable computed form is 8 meV per atom. For the formation energy, the calculation gives -270 meV per atom.

```
V3CrRu2
1.0
2.9616 0.0000 0.0000
0.0000 2.9616 0.0000
0.0000 0.0000 9.0166
V Cr Ru
3 1 2
Direct
0.0000 0.0000 0.0000
0.0000 0.0000 0.3456
0.0000 0.0000 0.6544
0.5000 0.5000 0.5000
0.5000 0.5000 0.1704
0.5000 0.5000 0.8296
```



Entry 12:
A relaxed BaTmAg crystal. Source: the Alexandria database, functional PBE.

The value obtained for the offset from the most stable computed form is 50 meV per atom. For the formation energy, the calculation gives -77 meV per atom.

```
BaTmAg
1.0
3.8442 0.0000 0.0000
0.0000 3.8442 0.0000
0.0000 0.0000 13.6388
Ba Tm Ag
2 2 2
Direct
0.0000 0.0000 0.0000
0.5000 0.5000 0.5000
0.0000 0.0000 0.2727
0.5000 0.5000 0.7727
0.0000 0.0000 0.6773
0.5000 0.5000 0.1773
```



Entry 13:
A relaxed SrLuGaSn crystal. Source: the Alexandria database, functional PBE.

For the formation energy, the calculation gives -407 meV per atom.

```
SrLuGaSn
1.0
7.5800 0.0000 0.0000
0.0000 7.5800 0.0000
0.0000 0.0000 7.5800
Sr Lu Ga Sn
4 4 4 4
Direct
0.0000 0.0000 0.0000
0.0000 0.5000 0.5000
0.5000 0.0000 0.5000
0.5000 0.5000 0.0000
0.0000 0.0000 0.5000
0.0000 0.5000 0.0000
0.5000 0.0000 0.0000
0.5000 0.5000 0.5000
0.2500 0.2500 0.2500
0.2500 0.7500 0.7500
0.7500 0.2500 0.7500
0.7500 0.7500 0.2500
0.2500 0.2500 0.7500
0.2500 0.7500 0.2500
0.7500 0.2500 0.2500
0.7500 0.7500 0.7500
```



Entry 14:
A relaxed Li2ZnPt2 crystal. Source: the Alexandria database, functional PBE.

The value obtained for the offset from the most stable computed form is 76 meV per atom. For the formation energy, the calculation gives -458 meV per atom.

```
Li2ZnPt2
1.0
4.0627 0.0000 0.0000
0.0000 5.5279 0.0000
0.0000 0.0000 7.1209
Li Zn Pt
4 2 4
Direct
0.0000 0.0000 0.1948
0.0000 0.0000 0.8052
0.5000 0.5000 0.3052
0.5000 0.5000 0.6948
0.0000 0.5000 0.0000
0.5000 0.0000 0.5000
0.0000 0.2660 0.5000
0.0000 0.7340 0.5000
0.5000 0.2340 0.0000
0.5000 0.7660 0.0000
```



Entry 15:
A relaxed LiTcSb crystal. Source: the Alexandria database, functional PBE.

The value obtained for the offset from the most stable computed form is 556 meV per atom.

```
LiTcSb
1.0
3.4483 0.0000 0.0000
0.0000 4.9393 0.0000
0.0000 0.0000 13.3676
Li Tc Sb
4 4 4
Direct
0.0000 0.0000 0.0000
0.0000 0.5000 0.5000
0.5000 0.0000 0.5000
0.5000 0.5000 0.0000
0.0000 0.0000 0.3421
0.0000 0.5000 0.8421
0.5000 0.0000 0.8421
0.5000 0.5000 0.3421
0.0000 0.0000 0.6902
0.0000 0.5000 0.1902
0.5000 0.0000 0.1902
0.5000 0.5000 0.6902
```



Entry 16:
A relaxed Dy2Ho3Er3 crystal. Source: the Alexandria database, functional PBE.

The value obtained for the offset from the most stable computed form is 0 meV per atom. For the formation energy, the calculation gives 21 meV per atom.

```
Dy2Ho3Er3
1.0
4.9684 0.0000 0.0000
0.0000 4.9687 0.0000
0.0000 0.0000 19.8837
Dy Ho Er
4 6 6
Direct
0.0000 0.0000 0.2499
0.0000 0.0000 0.7501
0.5000 0.5000 0.2501
0.5000 0.5000 0.7499
0.0000 0.0000 0.0000
0.0000 0.5000 0.1246
0.0000 0.5000 0.8754
0.5000 0.0000 0.3754
0.5000 0.0000 0.6246
0.5000 0.5000 0.5000
0.0000 0.0000 0.5000
0.0000 0.5000 0.3753
0.0000 0.5000 0.6247
0.5000 0.0000 0.1247
0.5000 0.0000 0.8753
0.5000 0.5000 0.0000
```



Entry 17:
A relaxed KFe2Hg crystal. Source: the Alexandria database, functional PBE.

For the formation energy, the calculation gives 462 meV per atom.

```
KFe2Hg
1.0
3.1722 0.0000 0.0000
0.0000 3.1722 0.0000
0.0000 0.0000 8.3402
K Fe Hg
1 2 1
Direct
0.0000 0.0000 0.0000
0.0000 0.0000 0.4398
0.5000 0.5000 0.3268
0.5000 0.5000 0.6717
```



Entry 18:
A relaxed Zr2AlBr crystal. Source: the Alexandria database, functional PBE.

The value obtained for the offset from the most stable computed form is 76 meV per atom.

```
Zr2AlBr
1.0
3.2143 0.0000 0.0000
-1.6072 2.7837 0.0000
0.0000 0.0000 28.0574
Zr Al Br
6 3 3
Direct
0.0000 0.0000 0.2480
0.0000 0.0000 0.7520
0.3333 0.6667 0.4187
0.3333 0.6667 0.9147
0.6667 0.3333 0.0853
0.6667 0.3333 0.5813
0.0000 0.0000 0.0000
0.3333 0.6667 0.6667
0.6667 0.3333 0.3333
0.0000 0.0000 0.5000
0.3333 0.6667 0.1667
0.6667 0.3333 0.8333
```



Entry 19:
A relaxed La7Co2HgPb2 crystal. Source: the Alexandria database, functional PBE.

For the formation energy, the calculation gives -344 meV per atom.

```
La7Co2HgPb2
1.0
-2.5872 2.5872 14.1282
2.5872 -2.5872 14.1282
2.5872 2.5872 -14.1282
La Co Hg Pb
7 2 1 2
Direct
0.0000 0.0000 0.0000
0.0969 0.5969 0.5000
0.2033 0.2033 0.0000
0.4031 0.9031 0.5000
0.5969 0.0969 0.5000
0.7967 0.7967 0.0000
0.9031 0.4031 0.5000
0.0951 0.0951 0.0000
0.9049 0.9049 0.0000
0.5000 0.5000 0.0000
0.3190 0.3190 0.0000
0.6810 0.6810 0.0000
```



Entry 20:
A relaxed Li2TlHg crystal. Source: the Alexandria database, functional PBE.

For the formation energy, the calculation gives -180 meV per atom.

```
Li2TlHg
1.0
3.3543 0.0000 0.0000
-1.6772 2.9049 0.0000
0.0000 0.0000 26.9254
Li Tl Hg
6 3 3
Direct
0.0000 0.0000 0.2491
0.0000 0.0000 0.7509
0.3333 0.6667 0.4175
0.3333 0.6667 0.9158
0.6667 0.3333 0.0842
0.6667 0.3333 0.5825
0.0000 0.0000 0.0000
0.3333 0.6667 0.6667
0.6667 0.3333 0.3333
0.0000 0.0000 0.5000
0.3333 0.6667 0.1667
0.6667 0.3333 0.8333
```